# CsNaMoPd

Crystalline CsNaMoPd at its relaxed geometry (PBE, the Open Quantum Materials Database).

Symmetry: F-43m

Unit cell a=5.2114 b=5.2114 c=5.2114 alpha=60.00 beta=60.00 gamma=60.00
Positions (direct):
Pd 0.5000 0.5000 0.5000
Cs 0.0000 0.0000 0.0000
Na 0.7500 0.7500 0.7500
Mo 0.2500 0.2500 0.2500

***

# Ba2AsAu

Crystalline Ba2AsAu at its relaxed geometry (PBE, the Open Quantum Materials Database).

Symmetry: Imma

Unit cell a=6.9667 b=6.9667 c=6.9667 alpha=108.32 beta=110.06 gamma=110.04
Positions (direct):
Ba 0.5000 0.7496 0.2496
Ba 0.0000 0.7504 0.7504
Ba 0.5000 0.2504 0.7504
Ba 0.0000 0.2496 0.2496
Au 0.9993 0.2500 0.7493
Au 0.0007 0.7500 0.2507
As 0.5011 0.2500 0.2511
As 0.4989 0.7500 0.7489

***

Mass density (kg/m³)
5944; 6975
Final energy (eV for the cell shown)
-13.5; -30.5